Version one
Material: PmYRu
Method: DFT, PBE
State: relaxed

The structure in POSCAR format:
```
PmYRu
1.0
-4.508 1.131 1.272
-1.557 -4.193 -1.792
-2.032 -4.525 5.906
Pm Ru Y
2 2 2
Cartesian
-4.832 -0.911 1.174
-3.357 -3.573 -0.358
-4.861 -5.264 4.917
-2.329 -2.218 2.064
-4.334 -2.410 4.257
-2.857 -5.073 2.724
```

Version two
Material: PmYRu
Method: DFT, PBE
State: relaxed

The structure in POSCAR format:
```
PmYRu
1.0
3.687 0.000 0.000
0.000 4.759 0.000
0.000 -2.379 4.121
Ru Y Pm
1 1 1
Cartesian
1.264 0.000 2.747
2.221 2.379 1.374
0.202 0.000 0.000
```

Relative energies with respect to the most stable structure, expressed in meV per atom: version one 0; version two 73.

Version one
Material: Pm2YRu
Method: DFT, PBE
State: relaxed

The structure in POSCAR format:
```
Pm2YRu
1.0
-3.184 -1.439 0.009
0.891 -1.988 -2.732
2.995 -6.592 5.773
Pm Y Ru
2 1 1
Cartesian
2.443 -5.377 4.709
0.552 -1.215 1.064
0.351 -5.009 1.525
-1.147 -1.713 -1.362
```

Version two
Material: Pm2YRu
Method: DFT, PBE
State: relaxed

The structure in POSCAR format:
```
Pm2YRu
1.0
4.032 0.000 0.000
-2.016 6.017 0.000
0.000 0.000 9.277
Ru Pm Y
2 4 2
Cartesian
0.000 3.104 2.319
2.016 2.913 6.958
0.000 4.312 5.266
0.000 4.312 8.649
2.016 1.705 0.628
2.016 1.705 4.011
2.016 5.071 2.319
0.000 0.946 6.958
```

Version three
Material: Pm2YRu
Method: DFT, PBE
State: relaxed

The structure in POSCAR format:
```
Pm2YRu
1.0
3.596 0.000 0.000
1.798 3.114 0.000
1.798 1.038 10.694
Pm Ru Y
2 1 1
Cartesian
1.798 1.038 7.265
5.394 3.114 3.429
3.596 2.076 5.347
0.000 0.000 0.000
```

Version four
Material: Pm2YRu
Method: DFT, PBE
State: relaxed

The structure in POSCAR format:
```
Pm2YRu
1.0
-5.734 0.287 -2.754
-1.532 -6.787 2.481
-3.655 3.749 8.000
Pm Y Ru
8 4 4
Cartesian
-2.407 -0.860 0.048
-7.326 0.164 3.035
-7.162 -3.277 4.722
-2.243 -4.300 1.735
-3.594 -2.914 4.692
-8.677 1.549 5.992
-3.758 0.526 3.005
-8.513 -1.891 7.679
-5.902 0.901 -0.262
-5.419 -2.556 1.578
-5.018 -3.652 7.989
-5.501 -0.195 6.149
-9.147 -1.087 4.900
-6.053 2.190 4.778
-1.773 -1.664 2.827
-4.867 -4.941 2.948
```

Relative energies with respect to the most stable structure, expressed in meV per atom: version one 176; version two 21; version three 422; version four 0.